Here is a geometry-optimized La2Zn9Ag6 structure from Alexandria. Energies are from PBE-GGA.

Properties
Formation energy from the elements: -123 meV per atom
Electronic total energy: -2.384 eV/atom
Size of the total moment: 0.00 μB per formula unit

The structure in CIF format:
```
data_La2Zn9Ag6
_cell_length_a 5.466
_cell_length_b 5.466
_cell_length_c 13.519
_cell_angle_alpha 90.00
_cell_angle_beta 90.00
_cell_angle_gamma 120.00
_symmetry_space_group_name_H-M 'P 1'
_symmetry_Int_Tables_number 1
loop_
_symmetry_equiv_pos_as_xyz
'x,y,z'
loop_
_atom_site_label
_atom_site_fract_x
_atom_site_fract_y
_atom_site_fract_z
_atom_site_occupancy
La1 0.000 0.000 0.152 1
La2 0.000 0.000 0.848 1
Zn1 0.000 0.500 0.000 1
Zn2 0.000 0.500 0.337 1
Zn3 0.000 0.500 0.663 1
Zn4 0.500 0.000 0.000 1
Zn5 0.500 0.000 0.337 1
Zn6 0.500 0.000 0.663 1
Zn7 0.500 0.500 0.000 1
Zn8 0.500 0.500 0.337 1
Zn9 0.500 0.500 0.663 1
Ag1 0.333 0.667 0.172 1
Ag2 0.333 0.667 0.500 1
Ag3 0.333 0.667 0.828 1
Ag4 0.667 0.333 0.172 1
Ag5 0.667 0.333 0.500 1
Ag6 0.667 0.333 0.828 1
```